FeBAs2O6: relaxed, PBE with a Hubbard U.

It has space group C2/c (No. 15), with a = 14.400 Å, b = 8.203 Å, c = 4.958 Å, α = 90.00°, β = 110.09° and γ = 90.00°. Symmetry generates all atoms from Fe at (0.000, 0.110, 0.250), B at (0.000, 0.198, 0.750), As at (0.178, 0.366, 0.146), O at (0.048, 0.294, 0.020), O at (0.071, 0.094, 0.675) and O at (0.169, 0.432, 0.486).

The density of states at the Fermi level comes out at 0.000 states/eV per atom. The calculation puts the total energy at -6.6137 eV/atom. The magnetization comes out at 0.496 μB per atom.